Material: La2CdAu
Method: DFT, PBE
State: optimized geometry

Cell: 3.857 3.873 7.680 Å, 90.00 90.00 90.00°
Fractional coordinates of all 4 atoms:
La: 0.000 0.000 0.233
La: 0.000 0.000 0.767
Cd: 0.500 0.500 0.500
Au: 0.500 0.500 0.000

Formation enthalpy at 0 K ... -0.557 eV per atom
VASP energy ... -16.28 eV per cell
SG ... Pmmm

=====

Material: LaCdAu
Method: DFT, PBE
State: optimized geometry

Cell: 3.922 3.922 10.060 Å, 90.00 90.00 90.00°
Fractional coordinates of all 6 atoms:
La: 0.000 0.000 0.000
La: 0.500 0.500 0.500
Cd: 0.000 0.000 0.315
Cd: 0.500 0.500 0.815
Au: 0.000 0.000 0.665
Au: 0.500 0.500 0.165

Formation enthalpy at 0 K ... -0.516 eV per atom
VASP energy ... -21.34 eV per cell
SG ... I4mm

=====

Material: La6CdAu2
Method: DFT, PBE
State: optimized geometry

Cell: 6.883 8.295 11.834 Å, 90.00 120.43 90.00°
Fractional coordinates of all 18 atoms:
La: 0.052 0.073 0.229
La: 0.052 0.427 0.729
La: 0.201 0.711 0.079
La: 0.201 0.789 0.579
La: 0.385 0.145 0.052
La: 0.385 0.355 0.552
La: 0.615 0.645 0.448
La: 0.615 0.855 0.948
La: 0.799 0.211 0.421
La: 0.799 0.289 0.921
La: 0.948 0.573 0.271
La: 0.948 0.927 0.771
Cd: 0.500 0.000 0.500
Cd: 0.500 0.500 0.000
Au: 0.309 0.112 0.730
Au: 0.309 0.388 0.230
Au: 0.691 0.612 0.770
Au: 0.691 0.888 0.270

Formation enthalpy at 0 K ... -0.324 eV per atom
VASP energy ... -79.90 eV per cell
SG ... P2_1/c

=====

Material: LaCdAu2
Method: DFT, PBE
State: optimized geometry

Cell: 4.051 4.557 5.756 Å, 90.00 110.44 90.00°
Fractional coordinates of all 4 atoms:
La: 0.000 0.000 0.000
Cd: 0.287 0.500 0.575
Au: 0.562 0.500 0.126
Au: 0.724 0.000 0.449

Formation enthalpy at 0 K ... -0.553 eV per atom
VASP energy ... -14.61 eV per cell
SG ... Pm

=====

Material: LaCd2Au2
Method: DFT, PBE
State: optimized geometry

Cell: 4.239 4.239 13.384 Å, 90.00 90.00 90.00°
Fractional coordinates of all 10 atoms:
La: 0.000 0.000 0.000
La: 0.500 0.500 0.500
Cd: 0.000 0.500 0.250
Cd: 0.000 0.500 0.750
Cd: 0.500 0.000 0.250
Cd: 0.500 0.000 0.750
Au: 0.000 0.000 0.397
Au: 0.000 0.000 0.603
Au: 0.500 0.500 0.103
Au: 0.500 0.500 0.897

Formation enthalpy at 0 K ... -0.541 eV per atom
VASP energy ... -32.03 eV per cell
Energy above the lowest structure with this stoichiometry ... 0 meV/atom
SG ... I4/mmm

=====

Material: LaCdAu
Method: DFT, PBE
State: optimized geometry

Cell: 7.032 7.032 7.032 Å, 90.00 90.00 90.00°
Fractional coordinates of all 12 atoms:
La: 0.000 0.000 0.000
La: 0.000 0.500 0.500
La: 0.500 0.000 0.500
La: 0.500 0.500 0.000
Cd: 0.000 0.000 0.500
Cd: 0.000 0.500 0.000
Cd: 0.500 0.000 0.000
Cd: 0.500 0.500 0.500
Au: 0.250 0.250 0.250
Au: 0.250 0.750 0.750
Au: 0.750 0.250 0.750
Au: 0.750 0.750 0.250

Formation enthalpy at 0 K ... -0.549 eV per atom
VASP energy ... -43.07 eV per cell
SG ... F-43m

=====

Repeat the sixth record exactly.
Material: LaCdAu
Method: DFT, PBE
State: optimized geometry

Cell: 7.032 7.032 7.032 Å, 90.00 90.00 90.00°
Fractional coordinates of all 12 atoms:
La: 0.000 0.000 0.000
La: 0.000 0.500 0.500
La: 0.500 0.000 0.500
La: 0.500 0.500 0.000
Cd: 0.000 0.000 0.500
Cd: 0.000 0.500 0.000
Cd: 0.500 0.000 0.000
Cd: 0.500 0.500 0.500
Au: 0.250 0.250 0.250
Au: 0.250 0.750 0.750
Au: 0.750 0.250 0.750
Au: 0.750 0.750 0.250

Formation enthalpy at 0 K ... -0.549 eV per atom
VASP energy ... -43.07 eV per cell
SG ... F-43m

=====

Question: Look up the VASP energy of the sixth one.
Answer: -43.07 eV per cell